Below is a relaxed Sr8P5Au crystal, with properties calculated at the PBE level.

abc: 8.1020 8.1020 8.1020
angles: 109.13 110.16 109.13
Sites, in units of the cell vectors:
Sr1 0.1163 0.7574 0.0217
Sr2 0.9783 0.0946 0.7357
Sr3 0.7395 0.2413 0.3662
Sr4 0.6338 0.3733 0.8752
Sr5 0.5019 0.6267 0.2605
Sr6 0.6412 0.9054 0.8837
Sr7 0.2643 0.2426 0.3588
Sr8 0.1248 0.7587 0.4981
P1 0.0141 0.3822 0.1249
P2 0.8751 0.8892 0.2573
P3 0.7427 0.6178 0.6319
P4 0.5000 0.0000 0.5000
P5 0.3681 0.1108 0.9859
Au1 0.2500 0.5000 0.7500

## Properties
Symmetry: I-4, No. 82
Formation enthalpy at 0 K (meV/atom): -1038

---

Below is a relaxed TaP4Au crystal, with properties calculated at the PBE level.

abc: 5.0597 5.0597 5.0597
angles: 60.00 60.00 60.00
Sites, in units of the cell vectors:
Ta1 0.7500 0.7500 0.7500
P1 0.8721 0.3760 0.3760
P2 0.3760 0.3760 0.8721
P3 0.3760 0.8721 0.3760
P4 0.3760 0.3760 0.3760
Au1 0.0000 0.0000 0.0000

## Properties
Symmetry: F-43m, No. 216
DOS at the Fermi energy (states/eV per cell): 3.5
Formation enthalpy at 0 K (meV/atom): 583

---

Below is a relaxed TaP2Au2 crystal, with properties calculated at the PBE level.

abc: 9.0720 9.0720 9.0720
angles: 159.78 159.78 28.74
Sites, in units of the cell vectors:
Ta1 0.0000 0.0000 0.0000
P1 0.2500 0.7500 0.5000
P2 0.7500 0.2500 0.5000
Au1 0.6023 0.6023 0.0000
Au2 0.3977 0.3977 0.0000

## Properties
Symmetry: I4/mmm, No. 139
DOS at the Fermi energy (states/eV per cell): 3.8
Formation enthalpy at 0 K (meV/atom): 312

---

Below is a relaxed Ta4PAu crystal, with properties calculated at the PBE level.

abc: 5.4278 5.4278 5.4278
angles: 60.00 60.00 60.00
Sites, in units of the cell vectors:
Ta1 0.8747 0.3751 0.3751
Ta2 0.3751 0.3751 0.8747
Ta3 0.3751 0.8747 0.3751
Ta4 0.3751 0.3751 0.3751
P1 0.0000 0.0000 0.0000
Au1 0.7500 0.7500 0.7500

## Properties
Symmetry: F-43m, No. 216
DOS at the Fermi energy (states/eV per cell): 5.6
Formation enthalpy at 0 K (meV/atom): 626

---

Below is a relaxed Ta2P2Au crystal, with properties calculated at the PBE level.

abc: 7.1702 7.1702 3.2350
angles: 90.00 90.00 90.00
Sites, in units of the cell vectors:
P1 0.1426 0.6426 0.5000
P2 0.6426 0.8574 0.5000
P3 0.8574 0.3574 0.5000
P4 0.3574 0.1426 0.5000
Au1 0.0000 0.0000 0.0000
Au2 0.5000 0.5000 0.0000
Ta1 0.3571 0.8571 0.0000
Ta2 0.8571 0.6429 0.0000
Ta3 0.6429 0.1429 0.0000
Ta4 0.1429 0.3571 0.0000

## Properties
Symmetry: P4/mbm, No. 127
Offset from the most stable computed form (kJ per mole of atoms): 0.00
DOS at the Fermi energy (states/eV per cell): 8.1
Formation enthalpy at 0 K (meV/atom): -400

---

Below is a relaxed TaPAu3 crystal, with properties calculated at the PBE level.

abc: 4.6340 4.6340 4.6340
angles: 90.00 90.00 90.00
Sites, in units of the cell vectors:
P1 0.0000 0.0000 0.0000
Au1 0.0000 0.5000 0.0000
Au2 0.0000 0.0000 0.5000
Au3 0.5000 0.0000 0.0000
Ta1 0.5000 0.5000 0.5000

## Properties
Symmetry: Pm-3m, No. 221
Offset from the most stable computed form (kJ per mole of atoms): 0.00
DOS at the Fermi energy (states/eV per cell): 3.0
Formation enthalpy at 0 K (meV/atom): 852

---

Below is a relaxed Ta2P2Au crystal, with properties calculated at the PBE level.

abc: 7.1152 7.1152 3.1497
angles: 90.00 90.00 90.00
Sites, in units of the cell vectors:
P1 0.3558 0.8558 0.0000
P2 0.8558 0.6442 0.0000
P3 0.6442 0.1442 0.0000
P4 0.1442 0.3558 0.0000
Au1 0.0000 0.0000 0.0000
Au2 0.5000 0.5000 0.0000
Ta1 0.1447 0.6447 0.5000
Ta2 0.6447 0.8553 0.5000
Ta3 0.8553 0.3553 0.5000
Ta4 0.3553 0.1447 0.5000

## Properties
Symmetry: P4/mbm, No. 127
Offset from the most stable computed form (kJ per mole of atoms): 7.01
DOS at the Fermi energy (states/eV per cell): 4.0
Formation enthalpy at 0 K (meV/atom): -327

---

Below is a relaxed Ta3PAu crystal, with properties calculated at the PBE level.

abc: 4.5775 4.5775 4.5775
angles: 90.00 90.00 90.00
Sites, in units of the cell vectors:
P1 0.0000 0.0000 0.0000
Au1 0.5000 0.5000 0.5000
Ta1 0.0000 0.5000 0.0000
Ta2 0.0000 0.0000 0.5000
Ta3 0.5000 0.0000 0.0000

## Properties
Symmetry: Pm-3m, No. 221
Offset from the most stable computed form (kJ per mole of atoms): 0.00
DOS at the Fermi energy (states/eV per cell): 7.3
Formation enthalpy at 0 K (meV/atom): 361

---

Below is a relaxed TaPAu3 crystal, with properties calculated at the PBE level.

abc: 5.0900 5.0900 5.0900
angles: 90.00 90.00 90.00
Sites, in units of the cell vectors:
P1 0.5000 0.5000 0.5000
Au1 0.0000 0.5000 0.0000
Au2 0.0000 0.0000 0.5000
Au3 0.5000 0.0000 0.0000
Ta1 0.0000 0.0000 0.0000

## Properties
Symmetry: Pm-3m, No. 221
Offset from the most stable computed form (kJ per mole of atoms): 55.07
DOS at the Fermi energy (states/eV per cell): 5.7
Formation enthalpy at 0 K (meV/atom): 1423

---

Below is a relaxed TaTl2PAu crystal, with properties calculated at the PBE level.

abc: 5.5657 4.5556 5.5657
angles: 90.00 90.00 90.00
Sites, in units of the cell vectors:
P1 0.0000 0.5000 0.0000
Tl1 0.0000 0.0000 0.5000
Tl2 0.5000 0.0000 0.0000
Au1 0.0000 0.0000 0.0000
Ta1 0.5000 0.5000 0.5000

## Properties
Symmetry: P4/mmm, No. 123
DOS at the Fermi energy (states/eV per cell): 5.0
Formation enthalpy at 0 K (meV/atom): 1311

---

Below is a relaxed Tb4Te2PAu crystal, with properties calculated at the PBE level.

abc: 4.1537 7.4053 7.4678
angles: 71.60 90.00 90.00
Sites, in units of the cell vectors:
Tb1 0.0000 0.7221 0.7500
Tb2 0.0000 0.2779 0.2500
Tb3 0.5000 0.7178 0.2714
Tb4 0.5000 0.2822 0.7286
Te1 0.0000 0.0000 0.0000
Te2 0.5000 0.0000 0.5000
P1 0.0000 0.5000 0.5000
Au1 0.5000 0.5000 0.0000

## Properties
Symmetry: P2/m, No. 10
DOS at the Fermi energy (states/eV per cell): 4.7
Uncorrected formation energy (eV/atom): -1.280

---

Below is a relaxed Tb8Te4P3Au crystal, with properties calculated at the PBE level.

abc: 8.3826 8.5352 8.3831
angles: 119.41 120.00 90.00
Sites, in units of the cell vectors:
Tb1 0.2436 0.7179 0.9744
Tb2 0.2436 0.7179 0.4871
Tb3 0.2635 0.2905 0.5270
Tb4 0.7308 0.7179 0.9744
Tb5 0.2692 0.2821 0.0256
Tb6 0.7365 0.7095 0.4730
Tb7 0.7564 0.2821 0.5129
Tb8 0.7564 0.2821 0.0256
Te1 0.5000 0.0000 0.0000
Te2 0.5000 0.0000 0.5000
Te3 0.0000 0.0000 0.0000
Te4 0.0000 0.0000 0.5000
P1 0.5000 0.5000 0.0000
P2 0.5000 0.5000 0.5000
P3 0.0000 0.5000 0.5000
Au1 0.0000 0.5000 0.0000

## Properties
Symmetry: R-3m, No. 166
DOS at the Fermi energy (states/eV per cell): 10.1
Uncorrected formation energy (eV/atom): -1.414

---

Below is a relaxed TcP3Au crystal, with properties calculated at the PBE level.

abc: 4.6098 4.6098 4.6098
angles: 90.00 90.00 90.00
Sites, in units of the cell vectors:
P1 0.0000 0.5000 0.0000
P2 0.0000 0.0000 0.5000
P3 0.5000 0.0000 0.0000
Au1 0.5000 0.5000 0.5000
Tc1 0.0000 0.0000 0.0000

## Properties
Symmetry: Pm-3m, No. 221
Offset from the most stable computed form (kJ per mole of atoms): 0.00
DOS at the Fermi energy (states/eV per cell): 5.5
Formation enthalpy at 0 K (meV/atom): 642

---

Sequential energy output: -4.17 -5.55 -5.53 -8.72 -7.96 -4.57 -7.89 -8.49 -4.00 -3.74 -5.47 -5.73 -5.33 eV per atom